Compound: ErLu2Si4Au4
Source: OQMD
Functional: PBE
Structure: optimized geometry

```
data_ErLu2Si4Au4
_symmetry_space_group_name_H-M 'I m m m'
_symmetry_Int_Tables_number 71
_symmetry_space_group_name_Hall '-I 2 2'
_cell_length_a 4.231
_cell_length_b 6.914
_cell_length_c 14.096
_cell_angle_alpha 90.00
_cell_angle_beta 90.00
_cell_angle_gamma 90.00
loop_
_atom_site_label
_atom_site_fract_x
_atom_site_fract_y
_atom_site_fract_z
Er1 0.000 0.000 0.000
Lu1 0.000 0.500 0.123
Si1 0.000 0.000 0.217
Si2 0.000 0.176 0.500
Au1 0.000 0.296 0.334
```

## Properties
For the total energy, the calculation gives -0.3722 Ry per atom. The density comes out at 11.4 g cm⁻³.

***

Compound: ErMgAu2
Source: OQMD
Functional: PBE
Structure: optimized geometry

```
data_ErMgAu2
_symmetry_space_group_name_H-M 'F m -3 m'
_symmetry_Int_Tables_number 225
_symmetry_space_group_name_Hall '-F 4 2 3'
_cell_length_a 6.866
_cell_length_b 6.866
_cell_length_c 6.866
_cell_angle_alpha 90.00
_cell_angle_beta 90.00
_cell_angle_gamma 90.00
loop_
_atom_site_label
_atom_site_fract_x
_atom_site_fract_y
_atom_site_fract_z
Er1 0.000 0.000 0.000
Mg1 0.000 0.000 0.500
Au1 0.250 0.250 0.250
```

## Properties
For the total energy, the calculation gives -0.2904 Ry per atom. The density comes out at 12.0 g cm⁻³.

***

Compound: NdErMg2Au4
Source: OQMD
Functional: PBE
Structure: optimized geometry

```
data_NdErMg2Au4
_symmetry_space_group_name_H-M 'P 4/m m m'
_symmetry_Int_Tables_number 123
_symmetry_space_group_name_Hall '-P 4 2'
_cell_length_a 4.937
_cell_length_b 4.937
_cell_length_c 6.979
_cell_angle_alpha 90.00
_cell_angle_beta 90.00
_cell_angle_gamma 90.00
loop_
_atom_site_label
_atom_site_fract_x
_atom_site_fract_y
_atom_site_fract_z
Nd1 0.000 0.000 0.000
Er1 0.500 0.500 0.500
Mg1 0.000 0.000 0.500
Mg2 0.500 0.500 0.000
Au1 0.000 0.500 0.263
```

## Properties
For the total energy, the calculation gives -0.2899 Ry per atom. The density comes out at 11.2 g cm⁻³.

***

Compound: NdEr2Mg3Pt2Au
Source: OQMD
Functional: PBE
Structure: optimized geometry

```
data_NdEr2Mg3Pt2Au
_symmetry_space_group_name_H-M 'A m m 2'
_symmetry_Int_Tables_number 38
_symmetry_space_group_name_Hall 'A 2 -2'
_cell_length_a 4.053
_cell_length_b 13.021
_cell_length_c 7.447
_cell_angle_alpha 90.00
_cell_angle_beta 90.00
_cell_angle_gamma 90.00
loop_
_atom_site_label
_atom_site_fract_x
_atom_site_fract_y
_atom_site_fract_z
Nd1 0.000 0.000 0.000
Er1 0.000 0.208 0.626
Mg1 0.500 0.000 0.666
Mg2 0.500 0.126 0.295
Pt1 0.500 0.172 0.915
Au1 0.000 0.000 0.424
```

## Properties
For the total energy, the calculation gives -0.3398 Ry per atom. The density comes out at 9.6 g cm⁻³.

***

Compound: Tb2ErMg3NiAu2
Source: OQMD
Functional: PBE
Structure: optimized geometry

```
data_Tb2ErMg3NiAu2
_symmetry_space_group_name_H-M 'A m m 2'
_symmetry_Int_Tables_number 38
_symmetry_space_group_name_Hall 'A 2 -2'
_cell_length_a 4.035
_cell_length_b 13.011
_cell_length_c 7.542
_cell_angle_alpha 90.00
_cell_angle_beta 90.00
_cell_angle_gamma 90.00
loop_
_atom_site_label
_atom_site_fract_x
_atom_site_fract_y
_atom_site_fract_z
Tb1 0.000 0.202 0.000
Er1 0.000 0.000 0.603
Mg1 0.500 0.000 0.965
Mg2 0.500 0.118 0.320
Ni1 0.000 0.000 0.204
Au1 0.500 0.165 0.700
```

## Properties
For the total energy, the calculation gives -0.2905 Ry per atom. The density comes out at 8.5 g cm⁻³.

***

Compound: ErMgAuO3
Source: OQMD
Functional: PBE
Structure: optimized geometry

```
data_ErMgAuO3
_symmetry_space_group_name_H-M 'C m c m'
_symmetry_Int_Tables_number 63
_symmetry_space_group_name_Hall '-C 2c 2'
_cell_length_a 3.134
_cell_length_b 15.076
_cell_length_c 6.558
_cell_angle_alpha 90.00
_cell_angle_beta 90.00
_cell_angle_gamma 90.00
loop_
_atom_site_label
_atom_site_fract_x
_atom_site_fract_y
_atom_site_fract_z
Er1 0.000 0.000 0.000
Mg1 0.000 0.339 0.250
Au1 0.000 0.322 0.750
O1 0.000 0.146 0.542
O2 0.000 0.490 0.250
```

## Properties
For the total energy, the calculation gives -0.4410 Ry per atom. The density comes out at 9.4 g cm⁻³.

***

Compound: Tb2ErMg3Pd2Au
Source: OQMD
Functional: PBE
Structure: optimized geometry

```
data_Tb2ErMg3Pd2Au
_symmetry_space_group_name_H-M 'A m m 2'
_symmetry_Int_Tables_number 38
_symmetry_space_group_name_Hall 'A 2 -2'
_cell_length_a 4.072
_cell_length_b 12.953
_cell_length_c 7.494
_cell_angle_alpha 90.00
_cell_angle_beta 90.00
_cell_angle_gamma 90.00
loop_
_atom_site_label
_atom_site_fract_x
_atom_site_fract_y
_atom_site_fract_z
Tb1 0.000 0.207 0.000
Er1 0.000 0.000 0.380
Mg1 0.500 0.000 0.043
Mg2 0.500 0.124 0.668
Pd1 0.500 0.165 0.294
Au1 0.000 0.000 0.791
```

## Properties
For the total energy, the calculation gives -0.3125 Ry per atom. The density comes out at 8.1 g cm⁻³.

***

Compound: TbEr2Mg3Pt2Au
Source: OQMD
Functional: PBE
Structure: optimized geometry

```
data_TbEr2Mg3Pt2Au
_symmetry_space_group_name_H-M 'A m m 2'
_symmetry_Int_Tables_number 38
_symmetry_space_group_name_Hall 'A 2 -2'
_cell_length_a 4.035
_cell_length_b 12.912
_cell_length_c 7.428
_cell_angle_alpha 90.00
_cell_angle_beta 90.00
_cell_angle_gamma 90.00
loop_
_atom_site_label
_atom_site_fract_x
_atom_site_fract_y
_atom_site_fract_z
Tb1 0.000 0.000 0.000
Er1 0.000 0.208 0.375
Mg1 0.500 0.000 0.333
Mg2 0.500 0.126 0.709
Pt1 0.500 0.169 0.084
Au1 0.000 0.000 0.581
```

## Properties
For the total energy, the calculation gives -0.3401 Ry per atom. The density comes out at 9.9 g cm⁻³.

***

Compound: ErMgAuSeS2
Source: OQMD
Functional: PBE
Structure: optimized geometry

```
data_ErMgAuSeS2
_symmetry_space_group_name_H-M 'C m c m'
_symmetry_Int_Tables_number 63
_symmetry_space_group_name_Hall '-C 2c 2'
_cell_length_a 3.970
_cell_length_b 13.469
_cell_length_c 10.589
_cell_angle_alpha 90.00
_cell_angle_beta 90.00
_cell_angle_gamma 90.00
loop_
_atom_site_label
_atom_site_fract_x
_atom_site_fract_y
_atom_site_fract_z
Er1 0.000 0.000 0.000
Mg1 0.000 0.298 0.250
Au1 0.000 0.356 0.750
Se1 0.000 0.079 0.750
S1 0.000 0.364 0.530
```

## Properties
For the total energy, the calculation gives -0.3431 Ry per atom. The density comes out at 6.2 g cm⁻³.

***

Compound: ErMgTe2AuS
Source: OQMD
Functional: PBE
Structure: optimized geometry

```
data_ErMgTe2AuS
_symmetry_space_group_name_H-M 'C m c m'
_symmetry_Int_Tables_number 63
_symmetry_space_group_name_Hall '-C 2c 2'
_cell_length_a 4.087
_cell_length_b 14.178
_cell_length_c 10.301
_cell_angle_alpha 90.00
_cell_angle_beta 90.00
_cell_angle_gamma 90.00
loop_
_atom_site_label
_atom_site_fract_x
_atom_site_fract_y
_atom_site_fract_z
Er1 0.000 0.000 0.000
Mg1 0.000 0.282 0.250
Te1 0.000 0.343 0.564
Au1 0.000 0.480 0.750
S1 0.000 0.096 0.750
```

## Properties
For the total energy, the calculation gives -0.3025 Ry per atom. The density comes out at 7.5 g cm⁻³.

***

Compound: ErMgTe2AuSe
Source: OQMD
Functional: PBE
Structure: optimized geometry

```
data_ErMgTe2AuSe
_symmetry_space_group_name_H-M 'C m c m'
_symmetry_Int_Tables_number 63
_symmetry_space_group_name_Hall '-C 2c 2'
_cell_length_a 4.041
_cell_length_b 14.219
_cell_length_c 10.584
_cell_angle_alpha 90.00
_cell_angle_beta 90.00
_cell_angle_gamma 90.00
loop_
_atom_site_label
_atom_site_fract_x
_atom_site_fract_y
_atom_site_fract_z
Er1 0.000 0.000 0.000
Mg1 0.000 0.253 0.250
Te1 0.000 0.344 0.565
Au1 0.000 0.479 0.750
Se1 0.000 0.105 0.750
```

## Properties
For the total energy, the calculation gives -0.2939 Ry per atom. The density comes out at 7.9 g cm⁻³.

***

Compound: TbErMg2Au4
Source: OQMD
Functional: PBE
Structure: optimized geometry

```
data_TbErMg2Au4
_symmetry_space_group_name_H-M 'P 4/m m m'
_symmetry_Int_Tables_number 123
_symmetry_space_group_name_Hall '-P 4 2'
_cell_length_a 4.864
_cell_length_b 4.864
_cell_length_c 6.877
_cell_angle_alpha 90.00
_cell_angle_beta 90.00
_cell_angle_gamma 90.00
loop_
_atom_site_label
_atom_site_fract_x
_atom_site_fract_y
_atom_site_fract_z
Tb1 0.000 0.000 0.000
Er1 0.500 0.500 0.500
Mg1 0.000 0.000 0.500
Mg2 0.500 0.500 0.000
Au1 0.000 0.500 0.254
```

## Properties
For the total energy, the calculation gives -0.2905 Ry per atom. The density comes out at 11.9 g cm⁻³.

***

Question: What is the formula in the sixth record?
Answer: ErMgAuO3